(1)
Computed, not measured: crystalline YGaIO2 at its relaxed geometry at the PBE level of DFT.

Computed properties:
symmetry	P4/mmm, No. 123
M_tot	0.962	μB per cell
energy relative to the elements, uncorrected	-1.323	eV/atom

a b c (Å): 4.434 4.434 6.472
angles (deg): 90.00 90.00 90.00
Last column: magnetic moment on the atom in μB.
Fractional positions:
1 I 0.000 0.000 0.500  0.00
2 Ga 0.500 0.500 0.500  0.00
3 Y 0.000 0.000 0.000  -0.04
4 O 0.500 0.000 0.000  0.41
5 O 0.000 0.500 0.000  0.41

(2)
Computed, not measured: crystalline YGaI2O at its relaxed geometry at the PBE level of DFT.

Computed properties:
symmetry	P4/mmm, No. 123
M_tot	0.000	μB per cell
energy relative to the elements, uncorrected	-0.652	eV/atom

a b c (Å): 5.970 5.970 3.707
angles (deg): 90.00 90.00 90.00
Fractional positions:
1 O 0.000 0.000 0.500
2 Y 0.500 0.500 0.500
3 Ga 0.000 0.000 0.000
4 I 0.000 0.500 0.000
5 I 0.500 0.000 0.000

(3)
Computed, not measured: crystalline YGaI2O at its relaxed geometry at the PBE level of DFT.

Computed properties:
symmetry	P4/mmm, No. 123
M_tot	0.000	μB per cell
energy relative to the elements, uncorrected	-1.327	eV/atom

a b c (Å): 6.258 6.258 4.214
angles (deg): 90.00 90.00 90.00
Fractional positions:
1 I 0.500 0.000 0.000
2 I 0.000 0.500 0.000
3 Ga 0.500 0.500 0.500
4 O 0.000 0.000 0.500
5 Y 0.000 0.000 0.000

(4)
Computed, not measured: crystalline YGaIO2 at its relaxed geometry at the PBE level of DFT.

Computed properties:
symmetry	P4/mmm, No. 123
M_tot	0.000	μB per cell
energy relative to the elements, uncorrected	-0.809	eV/atom

a b c (Å): 4.139 4.139 5.278
angles (deg): 90.00 90.00 90.00
Fractional positions:
1 Y 0.500 0.500 0.500
2 Ga 0.000 0.000 0.000
3 O 0.000 0.500 0.000
4 O 0.500 0.000 0.000
5 I 0.000 0.000 0.500

(5)
Computed, not measured: crystalline ZrGaI2O at its relaxed geometry at the PBE level of DFT.

Computed properties:
symmetry	P4/mmm, No. 123
M_tot	1.800	μB per cell
energy relative to the elements, uncorrected	-0.241	eV/atom

a b c (Å): 5.810 5.810 3.616
angles (deg): 90.00 90.00 90.00
Last column: magnetic moment on the atom in μB.
Fractional positions:
1 I 0.000 0.500 0.000  -0.03
2 I 0.500 0.000 0.000  -0.03
3 Ga 0.000 0.000 0.000  0.02
4 Zr 0.500 0.500 0.500  1.12
5 O 0.000 0.000 0.500  0.02

(6)
Computed, not measured: crystalline ZrGaIO2 at its relaxed geometry at the PBE level of DFT.

Computed properties:
symmetry	P4/mmm, No. 123
M_tot	0.001	μB per cell
energy relative to the elements, uncorrected	-0.328	eV/atom

a b c (Å): 4.016 4.016 5.360
angles (deg): 90.00 90.00 90.00
Fractional positions:
1 O 0.500 0.000 0.000
2 O 0.000 0.500 0.000
3 Ga 0.000 0.000 0.000
4 Zr 0.500 0.500 0.500
5 I 0.000 0.000 0.500

(7)
Computed, not measured: crystalline ZrGaIO2 at its relaxed geometry at the PBE level of DFT.

Computed properties:
symmetry	P4/mmm, No. 123
M_tot	0.000	μB per cell
energy relative to the elements, uncorrected	-1.527	eV/atom

a b c (Å): 4.203 4.203 6.089
angles (deg): 90.00 90.00 90.00
Fractional positions:
1 Zr 0.000 0.000 0.000
2 I 0.000 0.000 0.500
3 O 0.000 0.500 0.000
4 O 0.500 0.000 0.000
5 Ga 0.500 0.500 0.500

(8)
Computed, not measured: crystalline ZrGaI2O at its relaxed geometry at the PBE level of DFT.

Computed properties:
symmetry	P4/mmm, No. 123
M_tot	0.722	μB per cell
energy relative to the elements, uncorrected	-1.062	eV/atom

a b c (Å): 6.000 6.000 4.042
angles (deg): 90.00 90.00 90.00
Last column: magnetic moment on the atom in μB.
Fractional positions:
1 I 0.500 0.000 0.000  0.00
2 I 0.000 0.500 0.000  0.00
3 Zr 0.000 0.000 0.000  0.46
4 Ga 0.500 0.500 0.500  0.02
5 O 0.000 0.000 0.500  -0.02